Material: NaPuInGe
Method: DFT, PBE-GGA
State: relaxed

Lattice parameters (Å, degrees): 5.172 5.172 5.172 60.00 60.00 60.00
Atoms (fractional coordinates):
Na 0.000 0.000 0.000
Pu 0.500 0.500 0.500
In 0.750 0.750 0.750
Ge 0.250 0.250 0.250

Computed properties:
formation energy from the elements: -0.100 eV/atom
space-group type: F-43m



Material: TbYC
Method: DFT, PBE-GGA
State: relaxed

Lattice parameters (Å, degrees): 6.521 6.521 6.256 99.35 99.35 32.18
Atoms (fractional coordinates):
Tb 0.109 0.109 0.370
Tb 0.891 0.891 0.630
Y 0.391 0.391 0.129
Y 0.609 0.609 0.871
C 0.000 0.000 0.000
C 0.500 0.500 0.500

Computed properties:
formation energy from the elements: -0.276 eV/atom
excess energy over the best structure of this formula in the dataset: 0.0 kJ/mol of formula units
space-group type: C2/m



Material: Mn2TlZnSb
Method: DFT, PBE-GGA
State: relaxed

Lattice parameters (Å, degrees): 5.045 5.045 5.264 90.00 90.00 90.00
Atoms (fractional coordinates):
Mn 0.000 0.500 0.000
Mn 0.500 0.000 0.000
Tl 0.000 0.000 0.500
Zn 0.500 0.500 0.500
Sb 0.500 0.500 0.000

Computed properties:
space-group type: P4/mmm
energy relative to the elements, uncorrected: 0.73 eV/atom



For the records above, the corresponding total moment values read 5.8; 0.4; 7.5 μB/f.u..